[1]
## Dy5Er2Sc2 (PBE)

Data for a relaxed structure of Dy5Er2Sc2.

The value obtained for the distance to the lowest polymorph of the same formula is 106 meV per atom.

Unit cell a=8.2885 b=6.8996 c=11.0104 alpha=108.26 beta=112.11 gamma=90.00
With the nearest neighbours (Å) after each atom.
Element x y z (fractional)
Sc  0.8264  0.4984  0.9183  1 Sc 2.70
Sc  0.4081  0.0802  0.0817  1 Sc 2.70
Sc  0.5919  0.9984  0.9183  1 Sc 2.70
Sc  0.1736  0.5802  0.0817  1 Sc 2.70
Dy  0.4150  0.4560  0.3283  2 Sc 3.08-3.09, 3 Dy 3.30-3.43
Dy  0.8377  0.9005  0.2186  4 Er 3.43-3.66, 3 Sc 3.45-3.69, 4 Dy 3.47-3.71
Dy  0.4134  0.9560  0.3283  2 Sc 3.08-3.09, 3 Dy 3.30-3.43
Dy  0.5866  0.6277  0.6717  2 Sc 3.08-3.09, 3 Dy 3.30-3.43
Dy  0.2038  0.7926  0.5000  3 Er 3.30-3.48, 6 Dy 3.42-3.55
Dy  0.1191  0.1819  0.7814  4 Er 3.43-3.66, 3 Sc 3.45-3.69, 4 Dy 3.47-3.71
Dy  0.8809  0.4005  0.2186  4 Er 3.43-3.66, 3 Sc 3.45-3.69, 4 Dy 3.47-3.71
Dy  0.1623  0.6819  0.7814  4 Er 3.43-3.66, 3 Sc 3.45-3.69, 4 Dy 3.47-3.71
Dy  0.7962  0.2926  0.5000  3 Er 3.30-3.48, 6 Dy 3.42-3.55
Dy  0.5850  0.1277  0.6717  2 Sc 3.08-3.09, 3 Dy 3.30-3.43
Er  0.1938  0.2889  0.5000  11 Dy 3.30-3.66
Er  0.5000  0.5098  0.0000  4 Sc 3.15-3.52, 4 Dy 3.43
Er  0.0000  0.0098  0.0000  4 Sc 3.15-3.52, 4 Dy 3.43
Er  0.8062  0.7889  0.5000  11 Dy 3.30-3.66

***

[2]
## DyEr4Sc3 (PBE)

Data for a relaxed structure of DyEr4Sc3.

The value obtained for the distance to the lowest polymorph of the same formula is 33 meV per atom.

Unit cell a=6.8214 b=9.6678 c=5.8962 alpha=66.13 beta=125.03 gamma=134.79
With the nearest neighbours (Å) after each atom.
Element x y z (fractional)
Er  0.7474  0.7471  0.4998  6 Er 3.39-3.47, 4 Sc 3.40-3.41, 2 Dy 3.42
Er  0.5000  0.0000  0.0000  2 Dy 3.41, 4 Sc 3.43, 6 Er 3.43-3.44
Er  0.2526  0.2529  0.5002  6 Er 3.39-3.47, 4 Sc 3.40-3.41, 2 Dy 3.42
Er  0.0000  0.5000  0.0000  6 Sc 3.39-3.41, 6 Er 3.41-3.43
Sc  0.7538  0.2542  0.4999  4 Sc 3.37-3.49, 6 Er 3.39-3.43, 2 Dy 3.44
Sc  0.2462  0.7458  0.5001  4 Sc 3.37-3.49, 6 Er 3.39-3.43, 2 Dy 3.44
Sc  0.5000  0.5000  0.0000  6 Er 3.40-3.41, 4 Sc 3.41, 2 Dy 3.43
Dy  0.0000  0.0000  0.0000  6 Er 3.41-3.42, 6 Sc 3.43-3.44

***

[3]
## DyEr5Sc6 (PBE)

Data for a relaxed structure of DyEr5Sc6.

The value obtained for the total DFT energy (no corrections) is -64.74 eV per cell.

Unit cell a=11.1151 b=5.8914 c=5.8886 alpha=59.98 beta=84.94 gamma=79.85
With the nearest neighbours (Å) after each atom.
Element x y z (fractional)
Sc  0.7497  0.0833  0.3335  5 Er 3.36-3.37, 1 Dy 3.37, 6 Sc 3.40
Sc  0.7497  0.4167  0.6665  5 Er 3.36-3.37, 1 Dy 3.37, 6 Sc 3.40
Sc  0.2503  0.2502  0.0000  5 Er 3.36-3.37, 1 Dy 3.37, 6 Sc 3.40
Sc  0.2503  0.5833  0.3335  5 Er 3.36-3.37, 1 Dy 3.37, 6 Sc 3.40
Sc  0.7497  0.7498  0.0000  5 Er 3.36-3.37, 1 Dy 3.37, 6 Sc 3.40
Sc  0.2503  0.9167  0.6665  5 Er 3.36-3.37, 1 Dy 3.37, 6 Sc 3.40
Er  0.0000  0.3333  0.3333  6 Sc 3.37, 3 Er 3.40, 3 Dy 3.40
Er  0.0000  0.6667  0.6667  6 Sc 3.37, 3 Er 3.40, 3 Dy 3.40
Er  0.5000  0.1667  0.6666  6 Sc 3.36, 6 Er 3.40
Er  0.5000  0.5000  0.0000  6 Sc 3.36, 6 Er 3.40
Er  0.5000  0.8333  0.3334  6 Sc 3.36, 6 Er 3.40
Dy  0.0000  0.0000  0.0000  6 Sc 3.37, 6 Er 3.40

***

no.,magnetization (Bohr magnetons per cell),calculated density (g/cm³)
1,0.00,7.5
2,0.00,7.1
3,0.00,6.4